CsTaAg2Se4, relaxed, DFT PBE-GGA; ΔE_f (raw) = -0.6254 eV/atom; spin magnetization = 0.0 Bohr magnetons per cell; SG = No. 23
1.0
-5.856 0.655 -2.831
-0.140 0.279 -7.192
-3.779 -6.023 -1.124
Cs Ta Ag Se
1 1 2 4
direct
0.000 0.000 0.000 Cs
0.000 0.500 0.500 Ta
0.500 0.651 0.349 Ag
0.500 0.349 0.651 Ag
0.635 0.521 0.828 Se
0.365 0.172 0.479 Se
0.984 0.479 0.172 Se
0.016 0.828 0.521 Se



Zr2BeAs, relaxed, DFT PBE-GGA; relative energy among the computed polymorphs = 434 meV per atom; spin magnetization = 0.0 Bohr magnetons per cell; SG = No. 65
1.0
-0.670 1.483 -4.393
-4.264 -1.473 1.265
-0.705 3.005 1.122
Be As Zr
1 1 2
direct
0.000 0.500 0.500 Be
0.500 0.000 0.500 As
0.000 0.000 0.000 Zr
0.500 0.500 0.000 Zr



LiMg2Al, relaxed, DFT PBE-GGA; VASP energy = -1.992 eV/atom; spin magnetization = 0.0 Bohr magnetons per cell; SG = No. 71
1.0
6.524 -0.053 -0.026
3.825 5.285 0.026
-4.470 -4.008 2.552
Li Mg Al
1 2 1
direct
0.000 0.000 0.000 Li
0.748 0.748 0.000 Mg
0.252 0.252 0.000 Mg
0.500 0.500 0.000 Al



RbPr2Rh, relaxed, DFT PBE-GGA; VASP energy = -4.693 eV/atom; spin magnetization = 0.0 Bohr magnetons per cell; SG = No. 166
1.0
4.237 0.000 0.000
2.119 3.669 0.000
2.119 1.223 11.553
Pr Rh Rb
2 1 1
direct
0.124 0.124 0.628 Pr
0.876 0.876 0.372 Pr
0.500 0.500 0.500 Rh
0.000 0.000 0.000 Rb



TbPm2Ir, relaxed, DFT PBE-GGA; relative energy among the computed polymorphs = 444 meV per atom; spin magnetization = 0.6 Bohr magnetons per cell; SG = No. 166
1.0
-1.308 -3.198 1.597
1.867 -1.569 2.922
-5.635 4.203 8.334
Ir Tb Pm
1 1 2
direct
0.500 0.500 0.500 Ir
0.000 0.000 0.000 Tb
0.112 0.112 0.663 Pm
0.888 0.888 0.337 Pm



MgBeS2, relaxed, DFT PBE-GGA; relative energy among the computed polymorphs = 1075 meV per atom; ΔE_f (raw) = -0.1041 eV/atom; spin magnetization = 0.0 Bohr magnetons per cell; SG = No. 225
1.0
-3.248 -2.871 0.899
-0.679 -1.341 4.164
-3.598 1.346 2.200
Be S Mg
1 2 1
direct
0.000 0.000 0.000 Be
0.250 0.250 0.250 S
0.750 0.750 0.750 S
0.500 0.500 0.500 Mg



Y4BiAs3, relaxed, DFT PBE-GGA; VASP energy = -6.843 eV/atom; spin magnetization = 0.0 Bohr magnetons per cell; SG = No. 194
1.0
-2.972 -2.922 -0.219
3.756 -0.714 -1.674
8.808 -10.787 24.362
Y As Bi
8 6 2
direct
0.667 0.333 0.941 Y
0.333 0.667 0.059 Y
0.333 0.667 0.441 Y
0.667 0.333 0.559 Y
0.000 0.000 0.824 Y
0.000 0.000 0.176 Y
0.000 0.000 0.324 Y
0.000 0.000 0.676 Y
0.000 0.000 0.000 As
0.000 0.000 0.500 As
0.333 0.667 0.881 As
0.667 0.333 0.119 As
0.667 0.333 0.381 As
0.333 0.667 0.619 As
0.667 0.333 0.750 Bi
0.333 0.667 0.250 Bi



Be2Ag2Ge, relaxed, DFT PBE-GGA; relative energy among the computed polymorphs = 112 meV per atom; spin magnetization = 0.0 Bohr magnetons per cell; SG = No. 127
1.0
7.286 0.000 0.000
0.000 7.286 0.000
0.000 0.000 2.769
Be Ge Ag
4 2 4
direct
0.161 0.661 0.500 Be
0.661 0.839 0.500 Be
0.839 0.339 0.500 Be
0.339 0.161 0.500 Be
0.000 0.000 0.000 Ge
0.500 0.500 0.000 Ge
0.362 0.862 0.000 Ag
0.862 0.638 0.000 Ag
0.638 0.138 0.000 Ag
0.138 0.362 0.000 Ag



TbDy2TmBi5, relaxed, DFT PBE-GGA; VASP energy = -4.188 eV/atom; spin magnetization = 0.0 Bohr magnetons per cell; SG = No. 123
1.0
-3.379 3.997 -1.125
-2.571 -0.875 4.614
7.244 7.667 5.490
Tb Dy Tm Bi
1 2 1 5
direct
0.000 0.000 0.000 Tb
0.500 0.500 0.266 Dy
0.500 0.500 0.734 Dy
0.000 0.000 0.500 Tm
0.000 0.500 0.500 Bi
0.500 0.000 0.500 Bi
0.000 0.000 0.753 Bi
0.000 0.000 0.247 Bi
0.500 0.500 0.000 Bi



TaTi3Ga4, relaxed, DFT PBE-GGA; VASP energy = -6.242 eV/atom; spin magnetization = 0.0 Bohr magnetons per cell; SG = No. 53
1.0
-4.536 2.678 2.023
-2.951 -4.870 -0.171
2.373 -1.703 7.576
Ta Ti Ga
2 6 8
direct
0.814 0.500 0.000 Ta
0.314 0.500 0.500 Ta
0.814 0.000 0.000 Ti
0.064 0.748 0.250 Ti
0.564 0.252 0.250 Ti
0.314 0.000 0.500 Ti
0.564 0.252 0.750 Ti
0.064 0.748 0.750 Ti
0.314 0.000 0.000 Ga
0.314 0.500 0.000 Ga
0.064 0.248 0.250 Ga
0.564 0.752 0.250 Ga
0.814 0.500 0.500 Ga
0.814 0.000 0.500 Ga
0.564 0.752 0.750 Ga
0.064 0.248 0.750 Ga



Pm4GeBr4, relaxed, DFT PBE-GGA; ΔE_f (raw) = -0.9220 eV/atom; spin magnetization = 0.0 Bohr magnetons per cell; SG = No. 121
1.0
7.083 0.000 0.000
0.000 7.083 0.000
-3.541 -3.541 5.941
Pm Ge Br
4 1 4
direct
0.642 0.642 0.693 Pm
0.358 0.950 0.307 Pm
0.050 0.050 0.693 Pm
0.950 0.358 0.307 Pm
0.000 0.000 0.000 Ge
0.500 0.000 0.000 Br
0.000 0.500 0.000 Br
0.343 0.343 0.686 Br
0.657 0.657 0.314 Br



VTeWI2, relaxed, DFT PBE-GGA; relative energy among the computed polymorphs = 0 meV per atom; ΔE_f (raw) = 1.2331 eV/atom; spin magnetization = 7.0 Bohr magnetons per cell; SG = No. 123
1.0
5.361 0.000 0.000
0.000 5.361 0.000
0.000 0.000 5.466
I Te W V
2 1 1 1
direct
0.000 0.500 0.000 I
0.500 0.000 0.000 I
0.000 0.000 0.500 Te
0.500 0.500 0.500 W
0.000 0.000 0.000 V